Density functional theory data (meta-GGA SCAN) for a crystal of AlAs2Ir relaxed with PBEsol.

The structure belongs to space group Pmm2 (No. 25); the cell edges are 2.924, 3.957 and 6.317 Å and the angles 90.00°, 90.00° and 90.00°. The inequivalent atoms are Al at (0.000, 0.000, 0.000), As at (0.000, 0.500, 0.747), As at (0.500, 0.000, 0.371) and Ir at (0.500, 0.500, 0.093).

The total energy is -30.019 eV per atom.

---

Density functional theory data (meta-GGA SCAN) for a crystal of LiBi2O4 relaxed with PBEsol.

The structure belongs to space group P4/ncc (No. 130, origin choice 2); the cell edges are 8.070, 8.070 and 6.004 Å and the angles 90.00°, 90.00° and 90.00°. The inequivalent atoms are Li at (0.250, 0.250, 0.049), Bi at (0.079, 0.579, 0.250) and O at (0.023, 0.162, 0.591).

The total energy is -27.546 eV per atom. The value obtained for the uncorrected formation energy is -1192 meV/atom.

---

Density functional theory data (meta-GGA SCAN) for a crystal of Tl2CuP relaxed with PBEsol.

The structure belongs to space group Immm (No. 71); the cell edges are 4.068, 5.388 and 7.597 Å and the angles 90.00°, 90.00° and 90.00°. The inequivalent atoms are Tl at (0.000, 0.000, 0.238), Cu at (0.000, 0.500, 0.500) and P at (0.000, 0.500, 0.000).

The total energy is -42.058 eV per atom.

---

Density functional theory data (meta-GGA SCAN) for a crystal of BaFe2Ru2 relaxed with PBEsol.

The structure belongs to space group I4/mmm (No. 139); the cell edges are 4.195, 4.195 and 10.511 Å and the angles 90.00°, 90.00° and 90.00°. The inequivalent atoms are Ba at (0.000, 0.000, 0.000), Fe at (0.000, 0.000, 0.342) and Ru at (0.000, 0.500, 0.250).

The total energy is -28.431 eV per atom.

---

Density functional theory data (meta-GGA SCAN) for a crystal of BaSc2Co relaxed with PBEsol.

The structure belongs to space group Cmmm (No. 65); the cell edges are 6.230, 7.787 and 3.606 Å and the angles 90.00°, 90.00° and 90.00°. The inequivalent atoms are Ba at (0.000, 0.000, 0.000), Sc at (0.250, 0.250, 0.500) and Co at (0.000, 0.500, 0.000).

The total energy is -20.674 eV per atom.

---

Density functional theory data (meta-GGA SCAN) for a crystal of TaTl2Zn relaxed with PBEsol.

The structure belongs to space group F-43m (No. 216); the cell edges are 6.944, 6.944 and 6.944 Å and the angles 90.00°, 90.00° and 90.00°. The inequivalent atoms are Ta at (0.000, 0.000, 0.000), Tl at (0.000, 0.000, 0.500), Tl at (0.250, 0.250, 0.250) and Zn at (0.250, 0.250, 0.750).

The total energy is -55.238 eV per atom.

---

Density functional theory data (meta-GGA SCAN) for a crystal of Ca2TlPb relaxed with PBEsol.

The structure belongs to space group I4/mmm (No. 139); the cell edges are 5.407, 5.407 and 7.750 Å and the angles 90.00°, 90.00° and 90.00°. The inequivalent atoms are Ca at (0.000, 0.500, 0.250), Tl at (0.000, 0.000, 0.000) and Pb at (0.000, 0.000, 0.500).

The total energy is -42.561 eV per atom.

---

Density functional theory data (meta-GGA SCAN) for a crystal of CuAuCl2 relaxed with PBEsol.

The structure belongs to space group I-4m2 (No. 119); the cell edges are 3.536, 3.536 and 12.181 Å and the angles 90.00°, 90.00° and 90.00°. The inequivalent atoms are Cu at (0.000, 0.000, 0.000), Au at (0.000, 0.500, 0.250), Cl at (0.000, 0.000, 0.500) and Cl at (0.000, 0.500, 0.750).

The total energy is -25.070 eV per atom. The value obtained for the uncorrected formation energy is 8 meV/atom.